[1]
VASP calculation (PBE) on a relaxed Zr2TlSe crystal.

Cell lengths 7.874, 7.874, 3.458 Å; angles 77.32, 77.32, 26.43 degrees
Atoms (fractional coordinates):
Se  0.455  0.455  0.545
Zr  0.030  0.030  0.970
Zr  0.820  0.820  0.680
Tl  0.195  0.195  0.305

Summary:
Space-group type ... No. 44
E above lowest polymorph ... 53 meV/atom
ΔE_f (raw) ... -12.18 kcal/mol of atoms
Calculated total energy ... -6.265 eV/atom
Total magnetic moment ... 0.00 μB/cell

[2]
VASP calculation (PBE) on a relaxed La2HO crystal.

Cell lengths 5.713, 5.713, 6.916 Å; angles 65.61, 65.61, 90.00 degrees
Last column: magnetic moment on the atom in μB.
Atoms (fractional coordinates):
La  0.875  0.893  0.750  0.29
La  0.375  0.357  0.750  0.27
O  0.750  0.250  0.500  0.01
O  0.000  0.000  0.000  0.01
La  0.643  0.125  0.250  0.27
H  0.250  0.750  0.500  0.00
H  0.500  0.500  0.000  0.00
La  0.107  0.625  0.250  0.27

Summary:
Space-group type ... No. 122
E above lowest polymorph ... 118 meV/atom
Calculated total energy ... -6.020 eV/atom
Total magnetic moment ... 3.29 μB/cell

[3]
VASP calculation (PBE) on a relaxed SrAc2Co crystal.

Cell lengths 4.237, 4.237, 10.529 Å; angles 78.39, 78.39, 60.00 degrees
Atoms (fractional coordinates):
Sr  0.501  0.501  0.496
Co  0.666  0.666  0.002
Ac  0.050  0.050  0.851
Ac  0.283  0.283  0.151

Summary:
Space-group type ... No. 160
E above lowest polymorph ... 0 meV/atom
Formation energy from the elements ... -0.027 eV/atom
Calculated total energy ... -4.278 eV/atom
Total magnetic moment ... 0.00 μB/cell

[4]
VASP calculation (PBE) on a relaxed LaCe2ScBi5 crystal.

Cell lengths 5.734, 5.734, 11.571 Å; angles 90.00, 90.00, 90.00 degrees
Last column: magnetic moment on the atom in μB.
Atoms (fractional coordinates):
Bi  0.000  0.500  0.500  -0.03
Bi  0.000  0.000  0.765  -0.01
Bi  0.500  0.500  0.000  -0.01
Ce  0.500  0.500  0.293  1.05
Sc  0.000  0.000  0.000  -0.03
Bi  0.500  0.000  0.500  -0.03
Ce  0.500  0.500  0.707  1.05
Bi  0.000  0.000  0.235  -0.01
La  0.000  0.000  0.500  -0.02

Summary:
Space-group type ... No. 123
Formation energy from the elements ... 0.077 eV/atom
Calculated total energy ... -4.649 eV/atom
Total magnetic moment ... 2.05 μB/cell

[5]
VASP calculation (PBE) on a relaxed Na3TaBi crystal.

Cell lengths 5.774, 5.774, 5.774 Å; angles 90.00, 90.00, 90.00 degrees
Last column: magnetic moment on the atom in μB.
Atoms (fractional coordinates):
Ta  0.000  0.000  0.000  2.42
Na  0.000  0.500  0.000  0.04
Na  0.000  0.000  0.500  0.03
Bi  0.500  0.500  0.500  -0.59
Na  0.500  0.000  0.000  0.06

Summary:
Space-group type ... No. 221
E above lowest polymorph ... 190 meV/atom
Formation energy from the elements ... 1.422 eV/atom
Calculated total energy ... -2.516 eV/atom
Total magnetic moment ... 3.29 μB/cell

[6]
VASP calculation (PBE) on a relaxed Fe2TcNiSn crystal.

Cell lengths 4.705, 4.546, 4.705 Å; angles 90.00, 90.00, 90.00 degrees
Last column: magnetic moment on the atom in μB.
Atoms (fractional coordinates):
Tc  0.500  0.500  0.500  2.94
Fe  0.000  0.000  0.500  2.84
Sn  0.000  0.000  0.000  -0.13
Ni  0.000  0.500  0.000  0.26
Fe  0.500  0.000  0.000  2.68

Summary:
Space-group type ... No. 123
Formation energy from the elements ... 1.709 eV/atom
Calculated total energy ... -5.706 eV/atom
Total magnetic moment ... 8.83 μB/cell

[7]
VASP calculation (PBE) on a relaxed SrY2Cu crystal.

Cell lengths 5.443, 5.443, 5.443 Å; angles 60.00, 60.00, 60.00 degrees
Atoms (fractional coordinates):
Sr  0.500  0.500  0.500
Cu  0.000  0.000  0.000
Y  0.750  0.750  0.750
Y  0.250  0.250  0.250

Summary:
Space-group type ... No. 225
E above lowest polymorph ... 358 meV/atom
Formation energy from the elements ... 0.365 eV/atom
Calculated total energy ... -4.311 eV/atom
Total magnetic moment ... 0.00 μB/cell

[8]
VASP calculation (PBE) on a relaxed AlInRe2 crystal.

Cell lengths 3.137, 3.137, 6.570 Å; angles 90.00, 90.00, 90.00 degrees
Atoms (fractional coordinates):
Re  0.500  0.500  0.263
In  0.500  0.500  0.751
Re  0.000  0.000  0.022
Al  0.000  0.000  0.464

Summary:
Space-group type ... No. 99
E above lowest polymorph ... 2 meV/atom
Formation energy from the elements ... 0.104 eV/atom
Calculated total energy ... -7.740 eV/atom
Total magnetic moment ... 0.00 μB/cell

- The lowest calculated total energy belongs to which entry?
  AlInRe2

- The lowest calculated total energy belongs to which entry?
  AlInRe2